Entry 1:
VASP calculation (PBE) on crystalline Ac2NdSm2 at its relaxed geometry.

## Properties
The energy relative to the elements comes out at 0.08 eV/atom. For the distance to the lowest polymorph of the same formula, the calculation gives 0.000 eV per atom. As for the space group: C2/c (15).

Cell lengths 6.836, 10.001, 9.638 Å; angles 39.14, 69.23, 70.02 degrees
Fractional positions:
Sm: 0.970 0.342 0.481
Sm: 0.793 0.158 0.019
Sm: 0.030 0.658 0.519
Sm: 0.207 0.842 0.981
Nd: 0.421 0.250 0.750
Nd: 0.579 0.750 0.250
Ac: 0.546 0.305 0.310
Ac: 0.454 0.695 0.690
Ac: 0.162 0.195 0.190
Ac: 0.838 0.805 0.810

---

Entry 2:
VASP calculation (PBE) on crystalline CaHo4 at its relaxed geometry.

## Properties
The energy relative to the elements comes out at 0.87 eV/atom. As for the space group: Pm-3m (221).

Cell lengths 5.573, 5.573, 5.573 Å; angles 90.00, 90.00, 90.00 degrees
Fractional positions:
Ho: 0.500 0.000 0.500
Ho: 0.500 0.500 0.000
Ho: 0.000 0.500 0.500
Ho: 0.000 0.000 0.000
Ca: 0.500 0.500 0.500

---

Entry 3:
VASP calculation (PBE) on crystalline BaSi2Sb at its relaxed geometry.

## Properties
As for the space group: R-3m (166). The calculation puts the formation energy from raw total energies at 1.06 eV/f.u.

Cell lengths 8.449, 8.449, 8.449 Å; angles 27.88, 27.88, 27.88 degrees
Fractional positions:
Si: 0.019 0.019 0.019
Si: 0.481 0.481 0.481
Ba: 0.250 0.250 0.250
Sb: 0.750 0.750 0.750

---

Entry 4:
VASP calculation (PBE) on crystalline Pm11Tm4Sc9 at its relaxed geometry.

## Properties
The energy relative to the elements comes out at 0.09 eV/atom. As for the space group: Cmmm (65).

Cell lengths 3.500, 14.334, 14.334 Å; angles 93.44, 90.00, 90.00 degrees
Fractional positions:
Pm: 0.000 0.925 0.588
Pm: 0.000 0.230 0.230
Pm: 0.000 0.412 0.075
Pm: 0.000 0.000 0.000
Pm: 0.000 0.654 0.346
Pm: 0.000 0.075 0.412
Pm: 0.000 0.770 0.770
Pm: 0.000 0.588 0.925
Pm: 0.000 0.346 0.654
Pm: 0.000 0.174 0.826
Pm: 0.000 0.826 0.174
Tm: 0.500 0.279 0.443
Tm: 0.500 0.557 0.721
Tm: 0.500 0.443 0.279
Tm: 0.500 0.721 0.557
Sc: 0.500 0.027 0.206
Sc: 0.500 0.973 0.794
Sc: 0.500 0.866 0.380
Sc: 0.500 0.500 0.500
Sc: 0.500 0.134 0.620
Sc: 0.500 0.794 0.973
Sc: 0.500 0.380 0.866
Sc: 0.500 0.206 0.027
Sc: 0.500 0.620 0.134

---

Entry 5:
VASP calculation (PBE) on crystalline Ni3B at its relaxed geometry.

## Properties
The energy relative to the elements comes out at -0.23 eV/atom. As for the space group: Cmcm (63).

Cell lengths 2.754, 4.316, 6.709 Å; angles 90.00, 90.00, 108.60 degrees
Fractional positions:
Ni: 0.861 0.723 0.435
Ni: 0.577 0.153 0.250
Ni: 0.139 0.277 0.935
Ni: 0.861 0.723 0.065
Ni: 0.423 0.847 0.750
Ni: 0.139 0.277 0.565
B: 0.261 0.522 0.250
B: 0.739 0.478 0.750

---

Entry 6:
VASP calculation (PBE) on crystalline TaZn2F at its relaxed geometry.

## Properties
For the distance to the lowest polymorph of the same formula, the calculation gives 0.373 eV per atom. As for the space group: Fm-3m (225). The calculation puts the formation energy from raw total energies at 1.04 eV/f.u.

Cell lengths 4.464, 4.464, 4.464 Å; angles 60.00, 60.00, 60.00 degrees
Fractional positions:
F: 0.000 0.000 0.000
Zn: 0.750 0.750 0.750
Zn: 0.250 0.250 0.250
Ta: 0.500 0.500 0.500

---

Number 1: total magnetic moment 0.00 Bohr magnetons per cell. Number 2: total magnetic moment 0.00 Bohr magnetons per cell. Number 3: total magnetic moment 0.00 Bohr magnetons per cell. Number 4: total magnetic moment 0.00 Bohr magnetons per cell. Number 5: total magnetic moment 0.00 Bohr magnetons per cell. Number 6: total magnetic moment 0.00 Bohr magnetons per cell.